VASP calculation (PBE-GGA) on a relaxed La2CdIn crystal.

Calculated values
Its energy is -28.75 eV/cell. The value obtained for the volume is 131 Å³/f.u.

abc: 10.496 3.872 6.624
angles: 90.00 102.71 90.00
Space group C2/m (No. 12)
Symmetry-distinct sites (fractional):
La (0.249, 0.000, 0.249)
Cd (0.000, 0.000, 0.500)
In (0.000, 0.500, 0.000)